## Be2GaHgAu (PBE)

Data for a relaxed structure of Be2GaHgAu.

Computed properties:
Space group: P4/mmm
Magnetization (μB per formula unit): 0.0
Formation energy from the elements (eV/atom): 0.5867

Geometry as extended XYZ:
```
5
Lattice="4.281 0.000 0.000 0.000 4.281 0.000 0.000 0.000 5.203" Properties=species:S:1:pos:R:3 pbc="T T T"
Be 0.000 2.140 0.000
Be 2.140 0.000 0.000
Ga 0.000 0.000 0.000
Hg 2.140 2.140 2.602
Au 0.000 0.000 2.602
```

=====

## Tm2In5Ga (PBE)

Data for a relaxed structure of Tm2In5Ga.

Computed properties:
Space group: Pbam
Magnetization (μB per formula unit): 0.0
Formation energy from the elements (eV/atom): -0.3743

Geometry as extended XYZ:
```
16
Lattice="6.478 0.000 0.000 0.000 12.960 0.000 0.000 0.000 4.526" Properties=species:S:1:pos:R:3 pbc="T T T"
Tm 1.520 1.554 0.000
Tm 1.719 8.034 0.000
Tm 4.760 4.926 0.000
Tm 4.958 11.406 0.000
In 0.000 6.480 2.263
In 0.081 9.748 2.263
In 1.563 4.850 0.000
In 1.676 11.331 0.000
In 3.158 3.268 2.263
In 3.239 0.000 2.263
In 3.320 9.692 2.263
In 4.802 1.630 0.000
In 4.915 8.110 0.000
In 6.397 3.212 2.263
Ga 0.000 0.000 2.263
Ga 3.239 6.480 2.263
```

=====

## ThSc4Ru (PBE)

Data for a relaxed structure of ThSc4Ru.

Computed properties:
Space group: P4/mmm
Magnetization (μB per formula unit): 0.0
Formation energy from the elements (eV/atom): -0.1973

Geometry as extended XYZ:
```
6
Lattice="3.305 0.000 0.000 0.000 3.305 0.000 0.000 0.000 12.781" Properties=species:S:1:pos:R:3 pbc="T T T"
Th 0.000 0.000 0.000
Sc 0.000 0.000 4.880
Sc 0.000 0.000 7.901
Sc 1.653 1.653 2.408
Sc 1.653 1.653 10.373
Ru 1.653 1.653 6.390
```